No. 1
AlRe2P | PBEsol | optimized geometry

Cell lengths 2.837, 2.837, 8.148 Å; angles 79.97, 79.97, 60.00 degrees
Fractional positions:
Al 0.500 0.500 0.500
Re 0.742 0.742 0.774
Re 0.258 0.258 0.226
P 0.000 0.000 0.000

Space-group type ... No. 166
ΔE to the lowest computed polymorph ... 3.549 kcal/mol of atoms

---

No. 2
AlRe2P | PBEsol | optimized geometry

Cell lengths 3.071, 3.071, 5.701 Å; angles 90.00, 90.00, 90.00 degrees
Fractional positions:
P 0.500 0.500 0.754
Re 0.000 0.000 0.965
Re 0.500 0.500 0.278
Al 0.000 0.000 0.503

Space-group type ... No. 99
ΔE to the lowest computed polymorph ... 0.000 kcal/mol of atoms

---

No. 3
Al2ReP | PBEsol | optimized geometry

Cell lengths 3.105, 4.267, 4.496 Å; angles 108.08, 90.00, 90.00 degrees
Fractional positions:
P 0.500 0.500 0.000
Re 0.000 0.500 0.500
Al 0.000 0.000 0.000
Al 0.500 0.000 0.500

Space-group type ... No. 10

---

| no. | total moment (μB per formula unit) | E_form (eV per atom) |
| --- | --- | --- |
| 1 | 0.0 | -0.07 |
| 2 | 0.0 | -0.22 |
| 3 | 0.0 | 0.07 |